Tl2SiAg, optimized geometry, DFT GGA-PBE; E above lowest polymorph = 3.8 kJ per mole of atoms; crystal system = trigonal
1.0
-6.8109 -4.6444 -3.5186
-6.4650 -6.2019 -0.2800
-8.3673 -3.1526 -0.6227
Si Ag Tl
1 1 2
direct
0.7612 0.7612 0.7612 Si
0.4856 0.4856 0.4856 Ag
0.2405 0.2405 0.2405 Tl
0.0127 0.0127 0.0127 Tl

=====

Tl3Cd2Pb2, optimized geometry, DFT GGA-PBE; E above lowest polymorph = 0.0 kJ per mole of atoms; DFT formation energy = 0.0290 eV per atom; crystal system = monoclinic
1.0
-0.9256 -2.5473 4.4404
2.6713 -3.2543 -4.3573
6.5542 1.6914 2.3366
Pb Cd Tl
2 2 3
direct
0.5903 0.1805 0.3036 Pb
0.4097 0.8195 0.6964 Pb
0.8746 0.7492 0.4212 Cd
0.1254 0.2508 0.5788 Cd
0.0000 0.0000 0.0000 Tl
0.7070 0.4141 0.8336 Tl
0.2930 0.5859 0.1664 Tl

=====

Tl12Cd2Hg5, optimized geometry, DFT GGA-PBE; E above lowest polymorph = 0.0 kJ per mole of atoms; DFT formation energy = 0.0247 eV per atom; crystal system = monoclinic
1.0
8.1555 -0.1206 1.5217
1.2785 8.0555 1.5217
0.1167 0.0981 8.5868
Tl Hg Cd
12 5 2
direct
0.6280 0.0199 0.8107 Tl
0.1313 0.1313 0.8649 Tl
0.6358 0.1541 0.3859 Tl
0.0199 0.6280 0.8107 Tl
0.8687 0.8687 0.1351 Tl
0.9801 0.3720 0.1893 Tl
0.3720 0.9801 0.1893 Tl
0.3642 0.8459 0.6141 Tl
0.1541 0.6358 0.3859 Tl
0.8459 0.3642 0.6141 Tl
0.4100 0.4100 0.6899 Tl
0.5900 0.5900 0.3101 Tl
0.7539 0.7539 0.5383 Hg
0.0000 0.0000 0.5000 Hg
0.3681 0.3681 0.0740 Hg
0.2461 0.2461 0.4617 Hg
0.6319 0.6319 0.9260 Hg
0.2581 0.7419 0.0000 Cd
0.7419 0.2581 0.0000 Cd

=====

Pm2Pu2C3, optimized geometry, DFT GGA-PBE; DFT formation energy = 0.1131 eV per atom; crystal system = monoclinic
1.0
-2.2308 -0.2453 -3.2571
-3.7802 -3.7924 2.8746
-0.5431 5.6767 2.3462
Pm C Pu
2 3 2
direct
0.4172 0.1974 0.8343 Pm
0.5828 0.8026 0.1657 Pm
0.3627 0.7611 0.7254 C
0.0000 0.5000 0.0000 C
0.6373 0.2389 0.2746 C
0.8102 0.5536 0.6203 Pu
0.1898 0.4464 0.3797 Pu

=====

no.,calculated total energy (eV per atom)
1,-2.954
2,-2.306
3,-1.646
4,-9.292